1.
LaZnTc2 | GGA-PBE | relaxed

* E: -6.26 eV/atom
* energy of formation: 0.478 eV per atom

a b c (Å): 3.461 4.731 4.536
angles (deg): 90.00 90.00 90.00
Fractional coordinates of all 4 atoms:
La (0.000, 0.500, 0.500)
Tc (0.000, 0.000, 0.000)
Tc (0.500, 0.500, 0.000)
Zn (0.500, 0.000, 0.500)

2.
Rb2TeBr8 | GGA-PBE | relaxed

* E: -2.40 eV/atom
* ΔE_f (raw): -0.72 eV/atom

a b c (Å): 8.069 8.752 8.752
angles (deg): 67.41 61.18 61.18
Fractional coordinates of all 11 atoms:
Rb (0.236, 0.260, 0.260)
Rb (0.764, 0.740, 0.740)
Te (0.000, 0.000, 0.000)
Br (0.740, 0.243, 0.821)
Br (0.260, 0.179, 0.757)
Br (0.841, 0.223, 0.223)
Br (0.159, 0.777, 0.777)
Br (0.740, 0.821, 0.243)
Br (0.260, 0.757, 0.179)
Br (0.281, 0.479, 0.479)
Br (0.719, 0.521, 0.521)

3.
CuSnH2 | GGA-PBE | relaxed

* E: -3.01 eV/atom
* distance to the lowest polymorph of the same formula: 384 meV per atom

a b c (Å): 4.032 4.032 4.032
angles (deg): 60.00 60.00 60.00
Fractional coordinates of all 4 atoms:
H (0.250, 0.250, 0.250)
H (0.750, 0.750, 0.750)
Sn (0.500, 0.500, 0.500)
Cu (0.000, 0.000, 0.000)

4.
FeNi | GGA-PBE | relaxed

* E: -6.49 eV/atom
* energy of formation: 0.628 eV per atom

a b c (Å): 9.890 9.890 2.429
angles (deg): 90.00 90.00 120.00
Site moments in Bohr magnetons follow the coordinates.
Fractional coordinates of all 12 atoms:
Fe (0.629, 0.034, 0.250)  2.83
Fe (0.595, 0.629, 0.750)  2.83
Fe (0.966, 0.595, 0.250)  2.83
Fe (0.371, 0.966, 0.750)  2.83
Fe (0.405, 0.371, 0.250)  2.83
Fe (0.034, 0.405, 0.750)  2.83
Ni (0.792, 0.305, 0.250)  0.69
Ni (0.487, 0.792, 0.750)  0.69
Ni (0.695, 0.487, 0.250)  0.69
Ni (0.208, 0.695, 0.750)  0.69
Ni (0.513, 0.208, 0.250)  0.69
Ni (0.305, 0.513, 0.750)  0.69

5.
PrNdDyEr3 | GGA-PBE | relaxed

* E: -4.45 eV/atom
* energy of formation: 0.191 eV per atom

a b c (Å): 5.625 10.207 7.127
angles (deg): 90.25 90.00 106.00
Fractional coordinates of all 12 atoms:
Pr (0.353, 0.706, 0.966)
Pr (0.647, 0.294, 0.034)
Nd (0.052, 0.104, 0.261)
Nd (0.948, 0.896, 0.739)
Dy (0.650, 0.300, 0.458)
Dy (0.350, 0.700, 0.542)
Er (0.834, 0.668, 0.263)
Er (0.779, 0.558, 0.753)
Er (0.476, 0.952, 0.260)
Er (0.221, 0.442, 0.247)
Er (0.524, 0.048, 0.740)
Er (0.166, 0.332, 0.737)

6.
BeAsSe2I | GGA-PBE | relaxed

* E: -1.92 eV/atom
* distance to the lowest polymorph of the same formula: 1049 meV per atom
* ΔE_f (raw): 1.46 eV/atom

a b c (Å): 5.330 5.330 5.522
angles (deg): 90.00 90.00 90.00
Site moments in Bohr magnetons follow the coordinates.
Fractional coordinates of all 5 atoms:
I (0.000, 0.000, 0.000)  -0.01
Be (0.500, 0.500, 0.500)  -0.04
As (0.000, 0.000, 0.500)  0.19
Se (0.000, 0.500, 0.000)  0.03
Se (0.500, 0.000, 0.000)  0.03

7.
K2HoBrO2 | GGA-PBE | relaxed

* E: -5.24 eV/atom
* ΔE_f (raw): -2.18 eV/atom

a b c (Å): 4.457 4.457 6.619
angles (deg): 90.00 90.00 90.00
Fractional coordinates of all 6 atoms:
K (0.500, 0.500, 0.755)
K (0.500, 0.500, 0.245)
Ho (0.000, 0.000, 0.000)
Br (0.000, 0.000, 0.500)
O (0.500, 0.000, 0.000)
O (0.000, 0.500, 0.000)

8.
BaTlPd2 | GGA-PBE | relaxed

* E: -4.14 eV/atom
* energy of formation: -0.471 eV per atom

a b c (Å): 4.789 4.789 6.102
angles (deg): 66.89 66.89 60.00
Fractional coordinates of all 4 atoms:
Tl (0.500, 0.500, 0.500)
Ba (0.000, 0.000, 0.000)
Pd (0.804, 0.804, 0.589)
Pd (0.196, 0.196, 0.411)

9.
ScMn5P3 | GGA-PBE | relaxed

* E: -8.17 eV/atom
* energy of formation: -0.574 eV per atom

a b c (Å): 3.734 6.294 10.471
angles (deg): 90.00 90.00 107.25
Site moments in Bohr magnetons follow the coordinates.
Fractional coordinates of all 18 atoms:
Sc (0.827, 0.654, 0.750)  -0.08
Sc (0.173, 0.346, 0.250)  -0.08
Mn (0.808, 0.616, 0.443)  1.17
Mn (0.192, 0.384, 0.943)  1.17
Mn (0.000, 0.000, 0.500)  2.35
Mn (0.000, 0.000, 0.000)  2.35
Mn (0.454, 0.907, 0.145)  -0.11
Mn (0.546, 0.093, 0.855)  -0.11
Mn (0.546, 0.093, 0.645)  -0.11
Mn (0.808, 0.616, 0.057)  1.17
Mn (0.192, 0.384, 0.557)  1.17
Mn (0.454, 0.907, 0.355)  -0.11
P (0.374, 0.749, 0.943)  -0.03
P (0.885, 0.771, 0.250)  -0.01
P (0.374, 0.749, 0.557)  -0.03
P (0.626, 0.251, 0.443)  -0.03
P (0.115, 0.229, 0.750)  -0.01
P (0.626, 0.251, 0.057)  -0.03

10.
Dy3Ho2Se6 | GGA-PBE | relaxed

* E: -5.84 eV/atom
* distance to the lowest polymorph of the same formula: 0 meV per atom
* ΔE_f (raw): -1.86 eV/atom

a b c (Å): 7.031 7.007 7.001
angles (deg): 80.36 70.49 59.89
Fractional coordinates of all 11 atoms:
Dy (0.000, 0.000, 0.000)
Dy (0.335, 0.330, 0.000)
Dy (0.665, 0.670, 0.000)
Ho (0.165, 0.670, 0.500)
Ho (0.835, 0.330, 0.500)
Se (0.418, 0.671, 0.746)
Se (0.746, 0.000, 0.743)
Se (0.089, 0.329, 0.746)
Se (0.254, 0.000, 0.257)
Se (0.582, 0.329, 0.254)
Se (0.911, 0.671, 0.254)

11.
Ce2Zn2Au | GGA-PBE | relaxed

* E: -3.92 eV/atom
* distance to the lowest polymorph of the same formula: 11 meV per atom
* energy of formation: -0.386 eV per atom

a b c (Å): 3.459 4.566 7.222
angles (deg): 108.43 90.00 90.00
Site moments in Bohr magnetons follow the coordinates.
Fractional coordinates of all 5 atoms:
Ce (0.500, 0.393, 0.786)  0.67
Ce (0.500, 0.607, 0.214)  0.67
Zn (0.000, 0.798, 0.597)  0.02
Zn (0.000, 0.202, 0.403)  0.02
Au (0.000, 0.000, 0.000)  0.01

12.
CoNi2Br6 | GGA-PBE | relaxed

* E: -3.50 eV/atom
* ΔE_f (raw): -0.31 eV/atom

a b c (Å): 3.689 7.583 9.826
angles (deg): 112.59 90.00 104.08
Site moments in Bohr magnetons follow the coordinates.
Fractional coordinates of all 9 atoms:
Co (0.000, 0.000, 0.500)  2.46
Ni (0.668, 0.336, 0.835)  1.37
Ni (0.332, 0.664, 0.165)  1.37
Br (0.297, 0.594, 0.889)  0.24
Br (0.703, 0.406, 0.111)  0.24
Br (0.961, 0.923, 0.219)  0.23
Br (0.633, 0.265, 0.558)  0.22
Br (0.038, 0.077, 0.781)  0.23
Br (0.367, 0.735, 0.442)  0.22